Entry from Alexandria: CaNi5 at its PBEsol-relaxed geometry (SCAN).

Values from the calculation:
- energy (eV per atom) = -15.167
- density (g/cm3) = 7.04
- ΔE_f (eV/atom) = -0.08

a = 4.859 Å, b = 6.196 Å, c = 6.196 Å
α = 77.05°, β = 66.92°, γ = 66.92°
Each line ends with the local moment (μB).
Fractional coordinates of all 12 atoms:
Ni: 0.691 0.084 0.084  0.59
Ni: 0.359 0.416 0.416  0.59
Ni: 0.309 0.916 0.916  0.59
Ni: 0.500 0.242 0.758  0.63
Ni: 0.000 0.258 0.742  0.63
Ni: 0.500 0.000 0.500  0.63
Ni: 0.641 0.584 0.584  0.59
Ni: 0.000 0.742 0.258  0.63
Ni: 0.500 0.758 0.242  0.63
Ni: 0.500 0.500 0.000  0.63
Ca: 0.984 0.750 0.750  -0.05
Ca: 0.016 0.250 0.250  -0.05